This record from Alexandria via LeMat-Bulk describes a relaxed structure of TlInAs2C. The functional is PBE.

Unit cell a=4.417 b=4.417 c=5.550 alpha=90.00 beta=90.00 gamma=90.00
Fractional positions:
Tl: 0.000 0.000 0.000
In: 0.500 0.500 0.000
As: 0.000 0.500 0.500
As: 0.500 0.000 0.500
C: 0.000 0.000 0.500

Values from the calculation:
energy relative to the elements: 939 meV per atom
ρ: 7.38 Mg/m³

This record from Alexandria via LeMat-Bulk describes a relaxed structure of AsIrC4. The functional is PBE.

Unit cell a=4.223 b=2.886 c=5.023 alpha=90.00 beta=106.90 gamma=90.00
Fractional positions:
As: 0.000 0.000 0.000
Ir: 0.000 0.000 0.500
C: 0.405 0.500 0.601
C: 0.419 0.500 0.104
C: 0.581 0.500 0.896
C: 0.595 0.500 0.399

Values from the calculation:
energy relative to the elements: 634 meV per atom
ρ: 8.94 Mg/m³
distance to the lowest polymorph of the same formula: 0.351 eV per atom

This record from Alexandria via LeMat-Bulk describes a relaxed structure of AsIrC4. The functional is PBE.

Unit cell a=3.592 b=4.739 c=5.019 alpha=118.10 beta=107.64 gamma=90.29
Fractional positions:
As: 0.000 0.000 0.000
Ir: 0.815 0.486 0.943
C: 0.151 0.638 0.407
C: 0.184 0.275 0.678
C: 0.187 0.954 0.652
C: 0.243 0.360 0.454

Values from the calculation:
energy relative to the elements: 760 meV per atom
ρ: 7.40 Mg/m³
distance to the lowest polymorph of the same formula: 0.478 eV per atom

This record from Alexandria via LeMat-Bulk describes a relaxed structure of AsIrC4. The functional is PBE.

Unit cell a=3.613 b=4.490 c=6.651 alpha=95.04 beta=90.84 gamma=111.38
Fractional positions:
As: 0.000 0.000 0.000
Ir: 0.325 0.612 0.016
C: 0.123 0.231 0.771
C: 0.257 0.476 0.668
C: 0.327 0.604 0.491
C: 0.353 0.657 0.309

Values from the calculation:
energy relative to the elements: 908 meV per atom
ρ: 5.24 Mg/m³
distance to the lowest polymorph of the same formula: 0.626 eV per atom